An optimized crystal structure of Pm2MgZn2Pd5. Source: Alexandria via LeMat-Bulk, functional PBE.

a b c (Å): 3.7956 9.8931 9.8931
angles (deg): 90.00 90.00 90.00
Fractional positions:
Pd  0.5000  0.7930  0.9346
Zn  0.0000  0.3800  0.1200
Pm  0.0000  0.3229  0.8229
Pd  0.5000  0.5654  0.7070
Zn  0.0000  0.1200  0.6200
Pd  0.5000  0.0654  0.7930
Pd  0.5000  0.0000  0.5000
Pd  0.5000  0.7070  0.4346
Mg  0.0000  0.0000  0.0000
Pd  0.5000  0.9346  0.2070
Pd  0.5000  0.5000  0.0000
Pd  0.5000  0.4346  0.2930
Zn  0.0000  0.6200  0.8800
Zn  0.0000  0.8800  0.3800
Pd  0.5000  0.2930  0.5654
Mg  0.0000  0.5000  0.5000
Pm  0.0000  0.1771  0.3229
Pm  0.0000  0.6771  0.1771
Pd  0.5000  0.2070  0.0654
Pm  0.0000  0.8229  0.6771

Values from the calculation:
Electronic total energy: -4.631 eV per atom
Calculated formation energy: -0.671 eV per atom
Space-group type: No. 127